Density functional theory data (GGA-PBE) for crystalline HfBeH3 at its relaxed geometry.

- Space group: Pm-3m, No. 221
- Crystal system: cubic
- Total DFT energy (no corrections): -22.07 eV per formula unit
- Energy above the lowest structure with this stoichiometry: 194 meV per atom

```
HfBeH3
1.0
3.684 0.000 0.000
0.000 3.684 0.000
0.000 0.000 3.684
Be Hf H
1 1 3
Direct
0.500 0.500 0.500
0.000 0.000 0.000
0.000 0.500 0.000
0.000 0.000 0.500
0.500 0.000 0.000
```